(one)
PuTaMn2 after structural relaxation. Source: Alexandria via LeMat-Bulk, functional PBE-GGA.

Calculated density = 13.6 g/cm³

Cell: 3.071 3.071 6.942 Å, 90.00 90.00 90.00°
Fractional coordinates of all 4 atoms:
Pu1 0.000 0.000 0.000
Ta1 0.000 0.000 0.500
Mn1 0.500 0.500 0.282
Mn2 0.500 0.500 0.718

(two)
PuTaMn2 after structural relaxation. Source: Alexandria via LeMat-Bulk, functional PBE-GGA.

Calculated density = 14.0 g/cm³

Cell: 4.475 4.475 4.475 Å, 60.00 60.00 60.00°
Fractional coordinates of all 4 atoms:
Pu1 0.000 0.000 0.000
Ta1 0.500 0.500 0.500
Mn1 0.250 0.250 0.250
Mn2 0.750 0.750 0.750

Relative to the most stable one, in eV/atom, the structures come out at (one) 0.000; (two) 0.103.

(one)
TbPu2Mn after structural relaxation. Source: Alexandria via LeMat-Bulk, functional PBE-GGA.

Calculated density = 12.1 g/cm³

Cell: 5.747 5.747 5.747 Å, 48.13 48.13 48.13°
Fractional coordinates of all 4 atoms:
Tb1 0.000 0.000 0.000
Pu1 0.222 0.222 0.222
Pu2 0.778 0.778 0.778
Mn1 0.500 0.500 0.500

(two)
TbPu2Mn after structural relaxation. Source: Alexandria via LeMat-Bulk, functional PBE-GGA.

Calculated density = 12.0 g/cm³

Cell: 4.330 4.330 5.166 Å, 90.00 90.00 90.00°
Fractional coordinates of all 4 atoms:
Tb1 0.000 0.000 0.000
Pu1 0.000 0.500 0.500
Pu2 0.500 0.000 0.500
Mn1 0.500 0.500 0.000

Relative to the most stable one, in eV/atom, the structures come out at (one) 0.000; (two) 0.083.

(one)
Pu2MnTc after structural relaxation. Source: Alexandria via LeMat-Bulk, functional PBE-GGA.

Calculated density = 14.1 g/cm³

Cell: 3.422 3.422 6.465 Å, 90.00 90.00 90.00°
Fractional coordinates of all 4 atoms:
Pu1 0.000 0.000 0.245
Pu2 0.000 0.000 0.755
Mn1 0.500 0.500 0.000
Tc1 0.500 0.500 0.500

(two)
Pu2MnTc after structural relaxation. Source: Alexandria via LeMat-Bulk, functional PBE-GGA.

Calculated density = 14.0 g/cm³

Cell: 4.758 4.758 4.758 Å, 60.00 60.00 60.00°
Fractional coordinates of all 4 atoms:
Pu1 0.250 0.250 0.250
Pu2 0.750 0.750 0.750
Mn1 0.000 0.000 0.000
Tc1 0.500 0.500 0.500

Relative to the most stable one, in eV/atom, the structures come out at (one) 0.000; (two) 0.017.

(one)
PuTh2Mn after structural relaxation. Source: Alexandria via LeMat-Bulk, functional PBE-GGA.

Calculated density = 11.6 g/cm³

Cell: 11.389 11.389 11.389 Å, 16.93 16.93 16.93°
Fractional coordinates of all 4 atoms:
Pu1 0.000 0.000 0.000
Th1 0.094 0.094 0.094
Th2 0.906 0.906 0.906
Mn1 0.500 0.500 0.500

(two)
PuTh2Mn after structural relaxation. Source: Alexandria via LeMat-Bulk, functional PBE-GGA.

Calculated density = 12.3 g/cm³

Cell: 3.526 3.526 8.266 Å, 90.00 90.00 90.00°
Fractional coordinates of all 4 atoms:
Pu1 0.000 0.000 0.000
Th1 0.500 0.500 0.286
Th2 0.500 0.500 0.714
Mn1 0.000 0.000 0.500

Relative to the most stable one, in eV/atom, the structures come out at (one) 0.314; (two) 0.000.